# 1
First-principles (GGA-PBE) data for a relaxed Cd7Hg2Pb crystal, as listed in Alexandria via LeMat-Bulk.

Output
Total magnetization: 0.0 μB per cell
Energy relative to the lowest polymorph listed for this composition: 0.092 eV per atom
DOS(E_F): 3.62 states/eV/cell
Formation enthalpy at 0 K: 0.139 eV per atom
Calculated total energy: -9.33 eV per cell

Cell: 4.9161 8.5745 8.5745 Å, 123.82 90.00 90.00°
With the nearest neighbours (Å) after each atom.
Element x y z (fractional)
1 Cd 0.0000 0.7950 0.2050  2 Hg 2.85, 1 Pb 3.10
2 Cd 0.0000 0.2050 0.7950  2 Hg 2.85, 1 Pb 3.10
3 Cd 0.5000 0.0800 0.2926  1 Hg 2.90, 5 Cd 3.00-3.25
4 Cd 0.5000 0.9200 0.7074  1 Hg 2.90, 5 Cd 3.00-3.25
5 Cd 0.5000 0.2926 0.0800  1 Hg 2.90, 5 Cd 3.00-3.25
6 Cd 0.5000 0.7074 0.9200  1 Hg 2.90, 5 Cd 3.00-3.25
7 Cd 0.5000 0.5000 0.5000  4 Cd 3.00, 2 Hg 3.03
8 Hg 0.5000 0.7003 0.2997  5 Cd 2.85-3.03
9 Hg 0.5000 0.2997 0.7003  5 Cd 2.85-3.03
10 Pb 0.0000 0.0000 0.0000  10 Cd 3.10-3.30

# 2
First-principles (GGA-PBE) data for a relaxed Cd2Hg5Pb5 crystal, as listed in Alexandria via LeMat-Bulk.

Output
Total magnetization: 0.0 μB per cell
DOS(E_F): 4.31 states/eV/cell
Formation enthalpy at 0 K: 0.041 eV per atom
Calculated total energy: -21.38 eV per cell

Cell: 5.5529 8.7376 11.0917 Å, 128.57 89.84 117.48°
With the nearest neighbours (Å) after each atom.
Element x y z (fractional)
1 Cd 0.0038 0.0052 0.6677  4 Hg 3.27-3.35, 6 Pb 3.29-3.64
2 Cd 0.9962 0.9948 0.3323  4 Hg 3.27-3.35, 6 Pb 3.29-3.64
3 Hg 0.7588 0.5140 0.2585  2 Cd 3.27-3.35, 5 Pb 3.28-3.45, 3 Hg 3.42-3.56
4 Hg 0.5031 0.9977 0.8275  2 Cd 3.29-3.34, 4 Hg 3.35-3.53, 5 Pb 3.40-3.65
5 Hg 0.4969 0.0023 0.1725  2 Cd 3.29-3.34, 4 Hg 3.35-3.53, 5 Pb 3.40-3.65
6 Hg 0.2412 0.4860 0.7415  2 Cd 3.27-3.35, 5 Pb 3.28-3.45, 3 Hg 3.42-3.56
7 Hg 0.0000 0.0000 0.0000  4 Pb 3.24-3.25, 6 Hg 3.35-3.56
8 Pb 0.5000 0.0000 0.5000  4 Cd 3.32-3.33, 4 Hg 3.45-3.65, 4 Pb 3.45-3.46
9 Pb 0.2412 0.4822 0.0799  5 Hg 3.24-3.46, 2 Cd 3.35-3.55, 4 Pb 3.37-3.58
10 Pb 0.2326 0.4721 0.3975  5 Hg 3.25-3.53, 1 Cd 3.29, 4 Pb 3.40-3.58
11 Pb 0.7674 0.5279 0.6025  5 Hg 3.25-3.53, 1 Cd 3.29, 4 Pb 3.40-3.58
12 Pb 0.7588 0.5178 0.9201  5 Hg 3.24-3.46, 2 Cd 3.35-3.55, 4 Pb 3.37-3.58

# 3
First-principles (GGA-PBE) data for a relaxed Cd8HgPb2 crystal, as listed in Alexandria via LeMat-Bulk.

Output
Total magnetization: 0.0 μB per cell
DOS(E_F): 4.89 states/eV/cell
Formation enthalpy at 0 K: 0.094 eV per atom
Calculated total energy: -14.01 eV per cell

Cell: 6.1108 7.4551 7.4551 Å, 75.57 73.13 73.13°
With the nearest neighbours (Å) after each atom.
Element x y z (fractional)
1 Cd 0.0357 0.1417 0.5893  1 Hg 2.95, 6 Cd 2.95-3.08, 1 Pb 3.25
2 Cd 0.9643 0.4107 0.8583  1 Hg 2.95, 6 Cd 2.95-3.08, 1 Pb 3.25
3 Cd 0.7601 0.2770 0.2770  6 Cd 2.87-3.06, 1 Hg 3.05, 1 Pb 3.17
4 Cd 0.2399 0.7230 0.7230  6 Cd 2.87-3.06, 1 Hg 3.05, 1 Pb 3.17
5 Cd 0.0357 0.5893 0.1417  1 Hg 2.95, 6 Cd 2.95-3.08, 1 Pb 3.25
6 Cd 0.9643 0.8583 0.4107  1 Hg 2.95, 6 Cd 2.95-3.08, 1 Pb 3.25
7 Cd 0.2933 0.4586 0.4586  7 Cd 2.87-3.08
8 Cd 0.7067 0.5414 0.5414  7 Cd 2.87-3.08
9 Hg 0.0000 0.0000 0.0000  6 Cd 2.95-3.05
10 Pb 0.3683 0.1602 0.1602  5 Cd 3.17-3.46, 1 Hg 3.43, 1 Pb 3.52
11 Pb 0.6317 0.8398 0.8398  5 Cd 3.17-3.46, 1 Hg 3.43, 1 Pb 3.52

# 4
First-principles (GGA-PBE) data for a relaxed Cd3HgPb crystal, as listed in Alexandria via LeMat-Bulk.

Output
Total magnetization: 0.0 μB per cell
Energy relative to the lowest polymorph listed for this composition: 0.245 eV per atom
DOS(E_F): 2.66 states/eV/cell
Formation enthalpy at 0 K: 0.303 eV per atom
Calculated total energy: -5.24 eV per cell

Cell: 5.9584 5.9584 5.9584 Å, 90.00 90.00 90.00°
With the nearest neighbours (Å) after each atom.
Element x y z (fractional)
1 Pb 0.0000 0.0000 0.0000  6 Cd 2.98
2 Hg 0.5000 0.5000 0.5000  12 Cd 4.21
3 Cd 0.0000 0.5000 0.0000  2 Pb 2.98
4 Cd 0.0000 0.0000 0.5000  2 Pb 2.98
5 Cd 0.5000 0.0000 0.0000  2 Pb 2.98

# 5
First-principles (GGA-PBE) data for a relaxed Cd9Hg2Pb crystal, as listed in Alexandria via LeMat-Bulk.

Output
Total magnetization: 0.0 μB per cell
Energy relative to the lowest polymorph listed for this composition: 0.000 eV per atom
DOS(E_F): 3.57 states/eV/cell
Formation enthalpy at 0 K: 0.036 eV per atom
Calculated total energy: -12.11 eV per cell

Cell: 4.4443 4.4443 14.6664 Å, 90.00 90.00 90.00°
With the nearest neighbours (Å) after each atom.
Element x y z (fractional)
1 Cd 0.5000 0.5000 0.0000  4 Pb 3.14, 8 Cd 3.40
2 Cd 0.5000 0.5000 0.3382  4 Hg 3.14, 8 Cd 3.25-3.26
3 Cd 0.5000 0.5000 0.6618  4 Hg 3.14, 8 Cd 3.25-3.26
4 Cd 0.5000 0.0000 0.1759  8 Cd 3.14-3.40, 2 Hg 3.27, 2 Pb 3.40
5 Cd 0.5000 0.0000 0.5000  8 Cd 3.14-3.25, 4 Hg 3.24
6 Cd 0.5000 0.0000 0.8241  8 Cd 3.14-3.40, 2 Hg 3.27, 2 Pb 3.40
7 Cd 0.0000 0.5000 0.1759  8 Cd 3.14-3.40, 2 Hg 3.27, 2 Pb 3.40
8 Cd 0.0000 0.5000 0.5000  8 Cd 3.14-3.25, 4 Hg 3.24
9 Cd 0.0000 0.5000 0.8241  8 Cd 3.14-3.40, 2 Hg 3.27, 2 Pb 3.40
10 Hg 0.0000 0.0000 0.3391  12 Cd 3.14-3.27
11 Hg 0.0000 0.0000 0.6609  12 Cd 3.14-3.27
12 Pb 0.0000 0.0000 0.0000  12 Cd 3.14-3.40

# 6
First-principles (GGA-PBE) data for a relaxed Cd4Hg3Pb crystal, as listed in Alexandria via LeMat-Bulk.

Output
Total magnetization: 0.0 μB per cell
Energy relative to the lowest polymorph listed for this composition: 0.009 eV per atom
DOS(E_F): 2.61 states/eV/cell
Formation enthalpy at 0 K: 0.042 eV per atom
Calculated total energy: -7.93 eV per cell

Cell: 6.3923 5.2889 8.8967 Å, 115.74 131.11 68.46°
With the nearest neighbours (Å) after each atom.
Element x y z (fractional)
1 Pb 0.5000 0.0000 0.0000  6 Cd 3.20-3.43, 4 Hg 3.32-3.33
2 Hg 0.0000 0.5000 0.0000  4 Hg 3.11-3.21, 4 Cd 3.16-3.26, 2 Pb 3.32
3 Hg 0.8538 0.8632 0.7388  5 Cd 3.02-3.21, 2 Hg 3.11-3.21, 1 Pb 3.33
4 Hg 0.1462 0.1368 0.2612  5 Cd 3.02-3.21, 2 Hg 3.11-3.21, 1 Pb 3.33
5 Cd 0.7777 0.2447 0.5170  4 Hg 3.02-3.26, 4 Cd 3.07-3.17
6 Cd 0.2223 0.7553 0.4830  4 Hg 3.02-3.26, 4 Cd 3.07-3.17
7 Cd 0.3841 0.3595 0.7290  3 Cd 3.07-3.17, 3 Hg 3.12-3.16, 2 Pb 3.20-3.25
8 Cd 0.6159 0.6405 0.2710  3 Cd 3.07-3.17, 3 Hg 3.12-3.16, 2 Pb 3.20-3.25

# 7
First-principles (GGA-PBE) data for a relaxed CdHgPb2 crystal, as listed in Alexandria via LeMat-Bulk.

Output
Total magnetization: 0.0 μB per cell
Energy relative to the lowest polymorph listed for this composition: 0.034 eV per atom
DOS(E_F): 0.84 states/eV/cell
Formation enthalpy at 0 K: 0.057 eV per atom
Calculated total energy: -8.41 eV per cell

Cell: 5.4101 5.4101 5.4101 Å, 60.00 60.00 60.00°
With the nearest neighbours (Å) after each atom.
Element x y z (fractional)
1 Pb 0.2500 0.2500 0.2500  4 Cd 3.31, 4 Hg 3.31
2 Pb 0.7500 0.7500 0.7500  4 Hg 3.31, 4 Cd 3.31
3 Hg 0.5000 0.5000 0.5000  8 Pb 3.31
4 Cd 0.0000 0.0000 0.0000  8 Pb 3.31

# 8
First-principles (GGA-PBE) data for a relaxed CdHgPdPb2 crystal, as listed in Alexandria via LeMat-Bulk.

Output
Total magnetization: 0.0 μB per cell
Energy relative to the lowest polymorph listed for this composition: 0.000 eV per atom
DOS(E_F): 4.54 states/eV/cell
Formation enthalpy at 0 K: -0.005 eV per atom
Calculated total energy: -27.70 eV per cell

Cell: 4.1266 4.1266 14.9241 Å, 90.00 90.00 90.00°
With the nearest neighbours (Å) after each atom.
Element x y z (fractional)
1 Cd 0.0000 0.0000 0.5000  4 Cd 2.92, 4 Hg 3.09
2 Cd 0.5000 0.5000 0.5000  4 Cd 2.92, 4 Hg 3.09
3 Hg 0.5000 0.0000 0.6542  4 Cd 3.09, 4 Pb 3.15
4 Hg 0.0000 0.5000 0.3458  4 Cd 3.09, 4 Pb 3.15
5 Pd 0.5000 0.0000 0.0777  6 Pb 2.79-2.96
6 Pd 0.0000 0.5000 0.9223  6 Pb 2.79-2.96
7 Pb 0.0000 0.5000 0.7340  1 Pd 2.81
8 Pb 0.0000 0.5000 0.1093  5 Pd 2.79-2.96
9 Pb 0.5000 0.0000 0.8907  5 Pd 2.79-2.96
10 Pb 0.5000 0.0000 0.2660  1 Pd 2.81

# 9
First-principles (GGA-PBE) data for a relaxed CdHgPdPb2 crystal, as listed in Alexandria via LeMat-Bulk.

Output
Total magnetization: 0.0 μB per cell
Energy relative to the lowest polymorph listed for this composition: 0.039 eV per atom
DOS(E_F): 2.49 states/eV/cell
Formation enthalpy at 0 K: 0.034 eV per atom
Calculated total energy: -13.66 eV per cell

Cell: 5.3593 5.3593 5.2576 Å, 90.00 90.00 90.00°
With the nearest neighbours (Å) after each atom.
Element x y z (fractional)
1 Pb 0.0000 0.5000 0.0000  2 Pd 2.68
2 Pb 0.5000 0.0000 0.0000  2 Pd 2.68
3 Hg 0.5000 0.5000 0.5000  8 Pb 3.75, 4 Cd 3.79
4 Pd 0.0000 0.0000 0.0000  2 Cd 2.63, 4 Pb 2.68
5 Cd 0.0000 0.0000 0.5000  2 Pd 2.63

# 10
First-principles (GGA-PBE) data for a relaxed PmCdHgPb crystal, as listed in Alexandria via LeMat-Bulk.

Output
Total magnetization: 0.0 μB per cell
Energy relative to the lowest polymorph listed for this composition: 0.000 eV per atom
DOS(E_F): 1.83 states/eV/cell
Formation enthalpy at 0 K: -0.386 eV per atom
Calculated total energy: -11.22 eV per cell

Cell: 4.6996 4.5273 4.9347 Å, 90.00 90.00 90.00°
With the nearest neighbours (Å) after each atom.
Element x y z (fractional)
1 Pm 0.5000 0.0000 0.5000  4 Pb 3.26, 4 Hg 3.35, 4 Cd 3.41
2 Cd 0.0000 0.0000 0.0000  4 Hg 3.26, 4 Pb 3.35, 4 Pm 3.41
3 Hg 0.5000 0.5000 0.0000  4 Cd 3.26, 4 Pm 3.35, 4 Pb 3.41
4 Pb 0.0000 0.5000 0.5000  4 Pm 3.26, 4 Cd 3.35, 4 Hg 3.41

# 11
First-principles (GGA-PBE) data for a relaxed PmCdHgPb crystal, as listed in Alexandria via LeMat-Bulk.

Output
Total magnetization: 0.0 μB per cell
Energy relative to the lowest polymorph listed for this composition: 0.129 eV per atom
DOS(E_F): 3.30 states/eV/cell
Formation enthalpy at 0 K: -0.257 eV per atom
Calculated total energy: -10.70 eV per cell

Cell: 5.3305 5.3305 5.3305 Å, 60.00 60.00 60.00°
With the nearest neighbours (Å) after each atom.
Element x y z (fractional)
1 Pb 0.0000 0.0000 0.0000  4 Pm 3.26, 4 Cd 3.26
2 Cd 0.7500 0.7500 0.7500  4 Hg 3.26, 4 Pb 3.26
3 Hg 0.5000 0.5000 0.5000  4 Cd 3.26, 4 Pm 3.26
4 Pm 0.2500 0.2500 0.2500  4 Hg 3.26, 4 Pb 3.26

# 12
First-principles (GGA-PBE) data for a relaxed CdHgPtPb2 crystal, as listed in Alexandria via LeMat-Bulk.

Output
Total magnetization: 0.0 μB per cell
Energy relative to the lowest polymorph listed for this composition: 0.786 eV per atom
DOS(E_F): 2.75 states/eV/cell
Formation enthalpy at 0 K: 0.814 eV per atom
Calculated total energy: -10.60 eV per cell

Cell: 5.5763 5.1738 5.5763 Å, 90.00 90.00 90.00°
With the nearest neighbours (Å) after each atom.
Element x y z (fractional)
1 Pb 0.0000 0.0000 0.5000  2 Cd 2.79
2 Pb 0.5000 0.0000 0.0000  2 Cd 2.79
3 Hg 0.0000 0.5000 0.0000  2 Cd 2.59
4 Pt 0.5000 0.5000 0.5000  8 Pb 3.80, 4 Hg 3.94
5 Cd 0.0000 0.0000 0.0000  2 Hg 2.59, 4 Pb 2.79

What is the formula in the twelfth record?
CdHgPtPb2

Which formula does entry 10 have?
PmCdHgPb

Which of these has the lowest calculated total energy?
number 8

Among the records above, which one has the highest DOS(E_F)?
Cd8HgPb2